(1)
# MnOsRh6 PBE optimized geometry
# - Calculated formation energy: -0.051 eV per atom
# - Electronic total energy: -8.115 eV per atom
# - Crystal system: tetragonal
# - Total magnetization: 3.7 μB/f.u.
data_MnOsRh6
_chemical_formula_sum 'Mn1 Os1 Rh6'
_cell_length_a 5.4200
_cell_length_b 5.4200
_cell_length_c 3.8413
_cell_angle_alpha 90.00
_cell_angle_beta 90.00
_cell_angle_gamma 90.00
_symmetry_space_group_name_H-M 'P 4/m m m'
_symmetry_Int_Tables_number 123
_symmetry_space_group_name_Hall '-P 4 2'
loop_
_atom_site_label
_atom_site_fract_x
_atom_site_fract_y
_atom_site_fract_z
Mn1 0.0000 0.0000 0.0000
Os1 0.5000 0.5000 0.0000
Rh1 0.0000 0.5000 0.0000
Rh2 0.2533 0.2533 0.5000



(2)
# MnOsRh PBE optimized geometry
# - Calculated formation energy: 0.108 eV per atom
# - Electronic total energy: -9.142 eV per atom
# - Crystal system: hexagonal
# - Total magnetization: 2.0 μB/f.u.
data_MnOsRh
_chemical_formula_sum 'Mn1 Os1 Rh1'
_cell_length_a 4.2153
_cell_length_b 4.2153
_cell_length_c 2.6439
_cell_angle_alpha 90.00
_cell_angle_beta 90.00
_cell_angle_gamma 120.00
_symmetry_space_group_name_H-M 'P -6 m 2'
_symmetry_Int_Tables_number 187
_symmetry_space_group_name_Hall 'P -6 2'
loop_
_atom_site_label
_atom_site_fract_x
_atom_site_fract_y
_atom_site_fract_z
Mn1 0.0000 0.0000 0.0000
Os1 0.6667 0.3333 0.5000
Rh1 0.3333 0.6667 0.0000



(3)
# MnOs2Rh PBE optimized geometry
# - Calculated formation energy: 0.102 eV per atom
# - Electronic total energy: -9.643 eV per atom
# - Crystal system: trigonal
# - Total magnetization: 1.2 μB/f.u.
data_MnOs2Rh
_chemical_formula_sum 'Mn3 Os6 Rh3'
_cell_length_a 2.6940
_cell_length_b 2.6940
_cell_length_c 25.9839
_cell_angle_alpha 90.00
_cell_angle_beta 90.00
_cell_angle_gamma 120.00
_symmetry_space_group_name_H-M 'R -3 m'
_symmetry_Int_Tables_number 166
_symmetry_space_group_name_Hall '-R 3 2"'
loop_
_atom_site_label
_atom_site_fract_x
_atom_site_fract_y
_atom_site_fract_z
Mn1 0.0000 0.0000 0.0000
Os1 0.0000 0.0000 0.2536
Rh1 0.0000 0.0000 0.5000



(4)
# MnOs2Rh PBE optimized geometry
# - Calculated formation energy: 0.213 eV per atom
# - Electronic total energy: -9.532 eV per atom
# - Crystal system: orthorhombic
# - Total magnetization: 2.5 μB/f.u.
data_MnOs2Rh
_chemical_formula_sum 'Mn2 Os4 Rh2'
_cell_length_a 2.7923
_cell_length_b 4.3066
_cell_length_c 9.4619
_cell_angle_alpha 90.00
_cell_angle_beta 90.00
_cell_angle_gamma 90.00
_symmetry_space_group_name_H-M 'I m m m'
_symmetry_Int_Tables_number 71
_symmetry_space_group_name_Hall '-I 2 2'
loop_
_atom_site_label
_atom_site_fract_x
_atom_site_fract_y
_atom_site_fract_z
Mn1 0.0000 0.0000 0.0000
Os1 0.0000 0.5000 0.2838
Rh1 0.0000 0.0000 0.5000



(5)
# Mn2OsRh PBE optimized geometry
# - Calculated formation energy: -0.033 eV per atom
# - Electronic total energy: -9.263 eV per atom
# - Crystal system: tetragonal
# - Total magnetization: 7.0 μB/f.u.
data_Mn2OsRh
_chemical_formula_sum 'Mn2 Os1 Rh1'
_cell_length_a 3.0142
_cell_length_b 3.0142
_cell_length_c 6.0460
_cell_angle_alpha 90.00
_cell_angle_beta 90.00
_cell_angle_gamma 90.00
_symmetry_space_group_name_H-M 'P 4/m m m'
_symmetry_Int_Tables_number 123
_symmetry_space_group_name_Hall '-P 4 2'
loop_
_atom_site_label
_atom_site_fract_x
_atom_site_fract_y
_atom_site_fract_z
Mn1 0.0000 0.0000 0.2485
Os1 0.5000 0.5000 0.0000
Rh1 0.5000 0.5000 0.5000



(6)
# MnOs2Rh PBE optimized geometry
# - Calculated formation energy: 0.089 eV per atom
# - Electronic total energy: -9.656 eV per atom
# - Crystal system: orthorhombic
# - Total magnetization: 1.0 μB/f.u.
data_MnOs2Rh
_chemical_formula_sum 'Mn1 Os2 Rh1'
_cell_length_a 2.6722
_cell_length_b 3.7845
_cell_length_c 5.3734
_cell_angle_alpha 90.00
_cell_angle_beta 90.00
_cell_angle_gamma 90.00
_symmetry_space_group_name_H-M 'P m m m'
_symmetry_Int_Tables_number 47
loop_
_symmetry_equiv_pos_as_xyz
'x,y,z'
'-x,-y,-z'
'-x,-y,z'
'x,y,-z'
'x,-y,-z'
'-x,y,z'
'-x,y,-z'
'x,-y,z'
loop_
_atom_site_label
_atom_site_fract_x
_atom_site_fract_y
_atom_site_fract_z
Mn1 0.0000 0.0000 0.0000
Os1 0.5000 0.5000 0.2357
Rh1 0.0000 0.0000 0.5000



(7)
# MnOs2Rh PBE optimized geometry
# - Calculated formation energy: 0.046 eV per atom
# - Electronic total energy: -9.700 eV per atom
# - Crystal system: tetragonal
# - Total magnetization: 1.6 μB/f.u.
data_MnOs2Rh
_chemical_formula_sum 'Mn2 Os4 Rh2'
_cell_length_a 3.8168
_cell_length_b 3.8168
_cell_length_c 7.5274
_cell_angle_alpha 90.00
_cell_angle_beta 90.00
_cell_angle_gamma 90.00
_symmetry_space_group_name_H-M 'I -4 m 2'
_symmetry_Int_Tables_number 119
_symmetry_space_group_name_Hall 'I -4 -2'
loop_
_atom_site_label
_atom_site_fract_x
_atom_site_fract_y
_atom_site_fract_z
Mn1 0.0000 0.0000 0.0000
Os1 0.0000 0.0000 0.5000
Os2 0.0000 0.5000 0.7500
Rh1 0.0000 0.5000 0.2500



(8)
# MnOsRh PBE optimized geometry
# - Calculated formation energy: 0.482 eV per atom
# - Electronic total energy: -8.768 eV per atom
# - Crystal system: cubic
# - Total magnetization: 0.5 μB/f.u.
data_MnOsRh
_chemical_formula_sum 'Mn4 Os4 Rh4'
_cell_length_a 5.6534
_cell_length_b 5.6534
_cell_length_c 5.6534
_cell_angle_alpha 90.00
_cell_angle_beta 90.00
_cell_angle_gamma 90.00
_symmetry_space_group_name_H-M 'F -4 3 m'
_symmetry_Int_Tables_number 216
_symmetry_space_group_name_Hall 'F -4 2 3'
loop_
_atom_site_label
_atom_site_fract_x
_atom_site_fract_y
_atom_site_fract_z
Mn1 0.0000 0.0000 0.0000
Os1 0.2500 0.2500 0.2500
Rh1 0.2500 0.2500 0.7500